No. 1
A plane-wave DFT calculation with GGA-PBE was carried out for a relaxed structure of HoF3. Values from VASP.

Calculated values
- SG: P6_3/m
- Total magnetization: 0.00 μB/cell
- Final energy: -53.3 eV for the cell shown

```
&SYSTEM
  ibrav = 0, nat = 8, ntyp = 2
/
ATOMIC_SPECIES
F 19.00 F.upf
Ho 164.93 Ho.upf
ATOMIC_POSITIONS angstrom
F -0.856 4.478 2.634
F -0.620 1.921 2.634
F 1.476 3.404 2.634
F 3.450 2.980 0.878
F 1.354 1.497 0.878
F 3.686 0.424 0.878
Ho 2.830 1.634 2.634
Ho 0.000 3.268 0.878
CELL_PARAMETERS angstrom
5.660 0.000 0.000
-2.830 4.902 0.000
0.000 0.000 3.512
```

***

No. 2
A plane-wave DFT calculation with GGA-PBE was carried out for a relaxed structure of PuOsW. Values from VASP.

Calculated values
- Energy of formation: 177 kJ/mol of formula units
- SG: F-43m
- Total magnetization: 4.98 μB/cell

```
&SYSTEM
  ibrav = 0, nat = 3, ntyp = 3
/
ATOMIC_SPECIES
W 183.84 W.upf
Os 190.23 Os.upf
Pu 244.00 Pu.upf
ATOMIC_POSITIONS angstrom
W -6.870 -3.626 -2.257
Os 0.000 0.000 0.000
Pu -2.290 -1.209 -0.752
CELL_PARAMETERS angstrom
-3.449 -2.356 1.395
-3.967 0.620 -1.809
-1.745 -3.099 -2.596
```

***

No. 3
A plane-wave DFT calculation with GGA-PBE was carried out for a relaxed structure of Lu4InFeN2. Values from VASP.

Calculated values
- SG: P-6m2
- Total magnetization: 1.05 μB/cell
- Final energy: -52.7 eV for the cell shown

```
&SYSTEM
  ibrav = 0, nat = 8, ntyp = 4
/
ATOMIC_SPECIES
In 114.82 In.upf
Lu 174.97 Lu.upf
N 14.01 N.upf
Fe 55.84 Fe.upf
ATOMIC_POSITIONS angstrom
In 2.384 -6.829 2.245
Lu 1.621 -3.643 2.442
Lu 4.248 -11.016 5.051
Lu 0.521 -2.641 -0.562
Lu 3.454 -7.764 5.203
N 2.714 -2.895 0.604
N 5.355 -8.829 4.581
Fe 0.000 0.000 0.000
CELL_PARAMETERS angstrom
-1.803 -2.093 -1.925
3.147 0.809 -0.883
5.075 -11.407 7.645
```

***

No. 4
A plane-wave DFT calculation with GGA-PBE was carried out for a relaxed structure of MgSnIr2. Values from VASP.

Calculated values
- SG: P6_3/mmc
- Total magnetization: 0.69 μB/cell
- Final energy: -44.3 eV for the cell shown

```
&SYSTEM
  ibrav = 0, nat = 8, ntyp = 3
/
ATOMIC_SPECIES
Sn 118.71 Sn.upf
Ir 192.22 Ir.upf
Mg 24.30 Mg.upf
ATOMIC_POSITIONS angstrom
Sn 2.322 -1.341 1.958
Sn 2.322 1.341 5.875
Ir 2.322 -1.341 4.605
Ir 2.322 -1.341 7.145
Ir 2.322 1.341 0.688
Ir 2.322 1.341 3.229
Mg 0.000 0.000 5.875
Mg 0.000 0.000 1.958
CELL_PARAMETERS angstrom
2.322 -4.022 0.000
2.322 4.022 0.000
0.000 0.000 7.833
```

***

- The highest total magnetization belongs to which entry?
  PuOsW

***

- Which formula does entry 2 have?
  PuOsW